A geometry-optimized GdErCoHg structure, computed with PBE.

**Formation enthalpy at 0 K**: -0.90 eV per formula unit
**Symmetry**: F-43m
**Density of states at the Fermi level**: 0.661 states/eV per atom
**E_tot**: -6.74 eV per atom

```
data_GdErCoHg
_chemical_formula_sum 'Gd1 Er1 Co1 Hg1'
_space_group_name_H-M_alt 'P 1'
_space_group_IT_number 1
_space_group_name_Hall 'P 1'
_cell_length_a 5.035
_cell_length_b 5.035
_cell_length_c 5.035
_cell_angle_alpha 60.00
_cell_angle_beta 60.00
_cell_angle_gamma 60.00
loop_
_atom_site_label
_atom_site_type_symbol
_atom_site_fract_x
_atom_site_fract_y
_atom_site_fract_z
Gd1 Gd 0.500 0.500 0.500
Co1 Co 0.250 0.250 0.250
Hg1 Hg 0.750 0.750 0.750
Er1 Er 0.000 0.000 0.000
```